Entry 1:
DFT (SCAN) results for a PBEsol-optimized structure of Fe3Tc.

Unit cell a=3.515 b=3.515 c=3.515 alpha=90.00 beta=90.00 gamma=90.00
Positions (direct):
1 Fe 0.000 0.000 0.500
2 Fe 0.000 0.500 0.000
3 Fe 0.500 0.000 0.000
4 Tc 0.500 0.500 0.500

Symmetry: Pm-3m, No. 221
Energy of formation (kcal/mol of atoms): 7.18
Mass density (g cm⁻³): 10.15


Entry 2:
DFT (SCAN) results for a PBEsol-optimized structure of FeTc3.

Unit cell a=3.753 b=3.753 c=7.443 alpha=90.00 beta=90.00 gamma=90.00
Positions (direct):
1 Fe 0.000 0.000 0.000
2 Fe 0.500 0.500 0.500
3 Tc 0.000 0.000 0.500
4 Tc 0.000 0.500 0.250
5 Tc 0.000 0.500 0.750
6 Tc 0.500 0.000 0.250
7 Tc 0.500 0.000 0.750
8 Tc 0.500 0.500 0.000

Symmetry: I4/mmm, No. 139
Energy of formation (kcal/mol of atoms): 1.68
Mass density (g cm⁻³): 11.08


Entry 3:
DFT (SCAN) results for a PBEsol-optimized structure of FeTc3.

Unit cell a=5.318 b=12.860 c=4.584 alpha=90.00 beta=90.00 gamma=90.00
Positions (direct):
1 Fe 0.250 0.080 0.165
2 Fe 0.250 0.420 0.165
3 Fe 0.250 0.750 0.494
4 Fe 0.750 0.250 0.506
5 Fe 0.750 0.580 0.835
6 Fe 0.750 0.920 0.835
7 Tc 0.001 0.086 0.667
8 Tc 0.001 0.414 0.667
9 Tc 0.001 0.750 0.993
10 Tc 0.250 0.250 0.495
11 Tc 0.250 0.585 0.830
12 Tc 0.250 0.915 0.830
13 Tc 0.499 0.086 0.667
14 Tc 0.499 0.414 0.667
15 Tc 0.499 0.750 0.993
16 Tc 0.501 0.250 0.007
17 Tc 0.501 0.586 0.333
18 Tc 0.501 0.914 0.333
19 Tc 0.750 0.085 0.170
20 Tc 0.750 0.415 0.170
21 Tc 0.750 0.750 0.505
22 Tc 0.999 0.250 0.007
23 Tc 0.999 0.586 0.333
24 Tc 0.999 0.914 0.333

Symmetry: Pmmn, No. 59
Energy of formation (kcal/mol of atoms): 1.31
Mass density (g cm⁻³): 11.12


Entry 4:
DFT (SCAN) results for a PBEsol-optimized structure of FeTc8.

Unit cell a=5.988 b=5.988 c=5.988 alpha=95.73 beta=95.73 gamma=143.17
Positions (direct):
1 Fe 0.000 0.000 0.000
2 Tc 0.000 0.326 0.326
3 Tc 0.000 0.674 0.674
4 Tc 0.326 0.000 0.326
5 Tc 0.339 0.339 0.677
6 Tc 0.339 0.661 0.000
7 Tc 0.661 0.339 0.000
8 Tc 0.661 0.661 0.323
9 Tc 0.674 0.000 0.674

Symmetry: I4/mmm, No. 139
Energy of formation (kcal/mol of atoms): 1.93
Mass density (g cm⁻³): 11.42